# 1
KSbPO2 PBE-GGA optimized geometry; offset from the most stable computed form = 1.435 eV/atom; space group = No. 123
1.0
-2.618 2.262 2.777
-3.352 -0.335 -2.887
-1.691 -5.092 2.553
Sb K O P
1 1 2 1
Direct
0.500 0.500 0.500
0.000 0.000 0.000
0.000 0.500 0.000
0.500 0.000 0.000
0.000 0.000 0.500

---

# 2
K2SbPO6 PBE-GGA optimized geometry; space group = No. 62
1.0
5.984 0.000 0.000
0.000 9.577 0.000
0.000 0.000 11.269
K Sb P O
8 4 4 24
Direct
0.250 0.617 0.161
0.250 0.669 0.809
0.250 0.169 0.691
0.250 0.117 0.339
0.750 0.331 0.191
0.750 0.831 0.309
0.750 0.883 0.661
0.750 0.383 0.839
0.000 0.500 0.500
0.500 0.000 0.000
0.500 0.500 0.500
0.000 0.000 0.000
0.750 0.697 0.991
0.250 0.803 0.491
0.750 0.197 0.509
0.250 0.303 0.009
0.465 0.711 0.528
0.750 0.035 0.117
0.250 0.965 0.883
0.750 0.170 0.642
0.750 0.570 0.072
0.965 0.789 0.028
0.250 0.330 0.142
0.250 0.430 0.928
0.750 0.670 0.858
0.250 0.830 0.358
0.750 0.499 0.617
0.750 0.070 0.428
0.965 0.289 0.472
0.750 0.999 0.883
0.250 0.001 0.117
0.465 0.211 0.972
0.250 0.465 0.617
0.250 0.501 0.383
0.035 0.711 0.528
0.250 0.930 0.572
0.535 0.289 0.472
0.035 0.211 0.972
0.535 0.789 0.028
0.750 0.535 0.383

---

# 3
KScPO2 PBE-GGA optimized geometry; offset from the most stable computed form = 0.000 eV/atom; space group = No. 123
1.0
4.249 0.000 0.000
0.000 4.249 0.000
0.000 0.000 5.310
Sc P K O
1 1 1 2
Direct
0.000 0.000 0.000
0.000 0.000 0.500
0.500 0.500 0.500
0.000 0.500 0.000
0.500 0.000 0.000

---

# 4
KScPO2 PBE-GGA optimized geometry; offset from the most stable computed form = 1.601 eV/atom; space group = No. 123
1.0
4.357 0.000 0.000
0.000 4.357 0.000
0.000 0.000 5.116
Sc P K O
1 1 1 2
Direct
0.500 0.500 0.500
0.000 0.000 0.500
0.000 0.000 0.000
0.000 0.500 0.000
0.500 0.000 0.000

---

no.,final energy (eV per atom),formation energy (no corrections) (eV/atom)
1,-3.14,0.9728
2,-6.13,-1.9851
3,-5.67,-1.1147
4,-4.06,0.4863